Density functional theory data (GGA-PBE) for an optimized crystal structure of Cs4NpSc3Te8.

Results
* crystal system: trigonal
* E: -4.915 eV/atom
* DOS(E_F): 7.743 states/eV/cell

a = 8.886 Å, b = 10.227 Å, c = 8.888 Å
α = 115.76°, β = 119.99°, γ = 90.00°
Sites, in units of the cell vectors:
1 Cs 0.000 0.000 0.500
2 Cs 0.500 0.000 0.500
3 Cs 0.500 0.000 0.000
4 Cs 0.000 0.000 0.000
5 Te 0.714 0.684 0.949
6 Te 0.273 0.321 0.547
7 Te 0.765 0.316 0.530
8 Te 0.235 0.684 0.949
9 Te 0.235 0.684 0.470
10 Te 0.286 0.316 0.051
11 Te 0.765 0.316 0.051
12 Te 0.727 0.679 0.453
13 Sc 0.000 0.500 0.500
14 Sc 0.500 0.500 0.000
15 Sc 0.500 0.500 0.500
16 Np 0.000 0.500 0.000